Below is AgOsAu after structural relaxation, with properties calculated at the GGA-PBE level.

It has space group P3m1 (No. 156), with a = 2.8008 Å, b = 2.8008 Å, c = 7.2495 Å, α = 90.00°, β = 90.00° and γ = 120.00°. The distinct sites, in fractional coordinates, are Ag at (0.0000, 0.0000, 0.0000), Os at (0.3333, 0.6667, 0.6706) and Au at (0.6667, 0.3333, 0.3428).

The formation enthalpy at 0 K comes out at 1.50 eV/f.u.

Below is Na2CeInTe4 after structural relaxation, with properties calculated at the GGA-PBE level.

It has space group P2/m (No. 10), with a = 7.8288 Å, b = 4.4287 Å, c = 7.9757 Å, α = 90.00°, β = 109.01° and γ = 90.00°. The distinct sites, in fractional coordinates, are Na at (0.0000, 0.0000, 0.0000), Na at (0.5000, 0.5000, 0.0000), Ce at (0.0000, 0.5000, 0.5000), In at (0.5000, 0.0000, 0.5000), Te at (0.2465, 0.0000, 0.7381) and Te at (0.2641, 0.5000, 0.2722).

The uncorrected formation energy comes out at -0.89 eV/atom.

Below is BaAc2CeAs4 after structural relaxation, with properties calculated at the GGA-PBE level.

It has space group P2/m (No. 10), with a = 7.7662 Å, b = 4.5089 Å, c = 7.8406 Å, α = 90.00°, β = 109.22° and γ = 90.00°. The distinct sites, in fractional coordinates, are Ba at (0.0000, 0.0000, 0.0000), Ac at (0.5000, 0.0000, 0.5000), Ac at (0.5000, 0.5000, 0.0000), Ce at (0.0000, 0.5000, 0.5000), As at (0.2386, 0.0000, 0.7308) and As at (0.2469, 0.5000, 0.2723).

The formation enthalpy at 0 K comes out at -10.41 eV/f.u.

Below is Li2CaRe after structural relaxation, with properties calculated at the GGA-PBE level.

It has space group C2/m (No. 12), with a = 10.1226 Å, b = 2.6820 Å, c = 5.4877 Å, α = 90.00°, β = 95.36° and γ = 90.00°. The distinct sites, in fractional coordinates, are Li at (0.2381, 0.0000, 0.1909), Ca at (0.0000, 0.0000, 0.5000) and Re at (0.0000, 0.5000, 0.0000).

The formation enthalpy at 0 K comes out at 2.00 eV/f.u.

Below is Sc2Ru after structural relaxation, with properties calculated at the GGA-PBE level.

It has space group Cmc2_1 (No. 36), with a = 3.3096 Å, b = 11.7292 Å, c = 6.2845 Å, α = 90.00°, β = 90.00° and γ = 90.00°. The distinct sites, in fractional coordinates, are Sc at (0.0000, 0.0252, 0.0000), Sc at (0.0000, 0.2852, 0.8208) and Ru at (0.0000, 0.3804, 0.2012).

The formation enthalpy at 0 K comes out at -1.14 eV/f.u.

Below is SmDyW2N6 after structural relaxation, with properties calculated at the GGA-PBE level.

It has space group C2/c (No. 15), with a = 11.2923 Å, b = 9.7103 Å, c = 6.3936 Å, α = 90.00°, β = 112.62° and γ = 90.00°. The distinct sites, in fractional coordinates, are Sm at (0.0000, 0.0933, 0.2500), Dy at (0.0000, 0.2893, 0.7500), W at (0.2093, 0.4121, 0.2180), N at (0.1126, 0.1122, 0.6605), N at (0.1289, 0.2481, 0.1508) and N at (0.1479, 0.4884, 0.9222).

The uncorrected formation energy comes out at -0.98 eV/atom.

Below is LiCaTl2 after structural relaxation, with properties calculated at the GGA-PBE level.

It has space group Pmm2 (No. 25), with a = 3.9595 Å, b = 4.0466 Å, c = 6.8690 Å, α = 90.00°, β = 90.00° and γ = 90.00°. The distinct sites, in fractional coordinates, are Li at (0.0000, 0.0000, 0.0000), Ca at (0.5000, 0.5000, 0.3088), Tl at (0.0000, 0.0000, 0.5573) and Tl at (0.5000, 0.5000, 0.8262).

The formation enthalpy at 0 K comes out at -0.76 eV/f.u.

Below is Sr2MgBr after structural relaxation, with properties calculated at the GGA-PBE level.

It has space group Fm-3m (No. 225), with a = 8.4842 Å, b = 8.4842 Å, c = 8.4842 Å, α = 90.00°, β = 90.00° and γ = 90.00°. The distinct sites, in fractional coordinates, are Sr at (0.2500, 0.2500, 0.2500), Mg at (0.0000, 0.0000, 0.0000) and Br at (0.0000, 0.0000, 0.5000).

The uncorrected formation energy comes out at -0.46 eV/atom.

Below is NaSr2Mg after structural relaxation, with properties calculated at the GGA-PBE level.

It has space group R-3m (No. 166, hexagonal axes), with a = 3.9526 Å, b = 3.9526 Å, c = 41.2372 Å, α = 90.00°, β = 90.00° and γ = 120.00°. The distinct sites, in fractional coordinates, are Na at (0.0000, 0.0000, 0.0000), Sr at (0.0000, 0.0000, 0.4144) and Mg at (0.0000, 0.0000, 0.5000).

The formation enthalpy at 0 K comes out at 1.18 eV/f.u.

Below is AcPr2PuP4 after structural relaxation, with properties calculated at the GGA-PBE level.

It has space group P2/m (No. 10), with a = 7.3063 Å, b = 4.2222 Å, c = 7.3068 Å, α = 90.00°, β = 109.42° and γ = 90.00°. The distinct sites, in fractional coordinates, are Ac at (0.0000, 0.0000, 0.0000), Pr at (0.0000, 0.5000, 0.5000), Pr at (0.5000, 0.0000, 0.5000), Pu at (0.5000, 0.5000, 0.0000), P at (0.2640, 0.5000, 0.2528) and P at (0.2654, 0.0000, 0.7570).

The formation enthalpy at 0 K comes out at -10.84 eV/f.u.

Below is Zr2NiIr after structural relaxation, with properties calculated at the GGA-PBE level.

It has space group F-43m (No. 216), with a = 6.4308 Å, b = 6.4308 Å, c = 6.4308 Å, α = 90.00°, β = 90.00° and γ = 90.00°. The distinct sites, in fractional coordinates, are Zr at (0.0000, 0.0000, 0.0000), Zr at (0.2500, 0.2500, 0.2500), Ni at (0.0000, 0.0000, 0.5000) and Ir at (0.2500, 0.2500, 0.7500).

The formation enthalpy at 0 K comes out at -1.46 eV/f.u.

Below is Er4SnSbTe2 after structural relaxation, with properties calculated at the GGA-PBE level.

It has space group P2/m (No. 10), with a = 7.5372 Å, b = 4.3543 Å, c = 7.5458 Å, α = 90.00°, β = 109.42° and γ = 90.00°. The distinct sites, in fractional coordinates, are Er at (0.2360, 0.0000, 0.2422), Er at (0.2367, 0.5000, 0.7491), Sn at (0.0000, 0.5000, 0.0000), Sb at (0.0000, 0.0000, 0.5000), Te at (0.5000, 0.0000, 0.0000) and Te at (0.5000, 0.5000, 0.5000).

The uncorrected formation energy comes out at -1.12 eV/atom.

Number 1: E -0.1942 hartree per atom, total magnetization 0.00 Bohr magnetons per cell. Number 2: E -0.1425 hartree per atom, total magnetization 0.63 Bohr magnetons per cell. Number 3: E -0.2071 hartree per atom, total magnetization 0.16 Bohr magnetons per cell. Number 4: E -0.1495 hartree per atom, total magnetization 0.00 Bohr magnetons per cell. Number 5: E -0.2827 hartree per atom, total magnetization 0.00 Bohr magnetons per cell. Number 6: E -0.3489 hartree per atom, total magnetization 0.00 Bohr magnetons per cell. Number 7: E -0.0864 hartree per atom, total magnetization 0.00 Bohr magnetons per cell. Number 8: E -0.0778 hartree per atom, total magnetization 2.69 Bohr magnetons per cell. Number 9: E -0.0468 hartree per atom, total magnetization 0.00 Bohr magnetons per cell. Number 10: E -0.2778 hartree per atom, total magnetization 4.89 Bohr magnetons per cell. Number 11: E -0.3050 hartree per atom, total magnetization 0.00 Bohr magnetons per cell. Number 12: E -0.1911 hartree per atom, total magnetization 0.00 Bohr magnetons per cell.